# 1
A geometry-optimized AcSbAu structure, computed with PBE-GGA.

abc: 5.013 5.013 7.189
angles: 90.05 90.05 90.00
Positions (direct):
Ac: 0.250 0.250 0.221
Ac: 0.750 0.750 0.779
Sb: 0.250 0.250 0.752
Sb: 0.750 0.750 0.248
Au: 0.250 0.750 0.500
Au: 0.750 0.250 0.500

Output
- Relative energy among the computed polymorphs: 0.078 eV per atom
- Space group: C2/m (12)
- Raw formation energy: -18.9 kcal/mol of atoms
- Total magnetic moment: 0.00 μB/f.u.

---

# 2
A geometry-optimized ZnSiAg4 structure, computed with PBE-GGA.

abc: 5.439 5.439 5.439
angles: 60.00 60.00 60.00
Positions (direct):
Zn: 0.000 0.000 0.000
Si: 0.250 0.250 0.250
Ag: 0.125 0.625 0.625
Ag: 0.625 0.125 0.625
Ag: 0.625 0.625 0.125
Ag: 0.625 0.625 0.625

Output
- Space group: F-43m (216)
- Raw formation energy: 9.0 kcal/mol of atoms
- Total magnetic moment: 0.00 μB/f.u.

---

# 3
A geometry-optimized CoW2Se structure, computed with PBE-GGA.

abc: 4.562 3.052 4.756
angles: 90.00 112.94 90.00
Positions (direct):
Co: 0.000 0.000 0.000
W: 0.000 0.500 0.500
W: 0.500 0.000 0.500
Se: 0.500 0.500 0.000

Output
- Space group: P2/m (10)
- Raw formation energy: 13.1 kcal/mol of atoms
- Total magnetic moment: 1.40 μB/f.u.

---

# 4
A geometry-optimized Ta2NiPb structure, computed with PBE-GGA.

abc: 9.447 9.447 9.447
angles: 18.49 18.49 18.49
Positions (direct):
Ta: 0.239 0.239 0.239
Ta: 0.761 0.761 0.761
Ni: 0.500 0.500 0.500
Pb: 0.000 0.000 0.000

Output
- Energy of formation from the pure elements: 0.482 eV/atom
- Space group: R-3m (166)
- Total magnetic moment: 0.00 μB/f.u.

---

# 5
A geometry-optimized ScTc3Bi structure, computed with PBE-GGA.

abc: 4.953 4.953 4.953
angles: 90.00 90.00 90.00
Positions (direct):
Sc: 0.000 0.000 0.000
Tc: 0.000 0.500 0.500
Tc: 0.500 0.000 0.500
Tc: 0.500 0.500 0.000
Bi: 0.500 0.500 0.500

Output
- Relative energy among the computed polymorphs: 0.244 eV per atom
- Energy of formation from the pure elements: 1.824 eV/atom
- Space group: Pm-3m (221)
- Total magnetic moment: 2.66 μB/f.u.

---

# 6
A geometry-optimized PrAl2OsO8 structure, computed with PBE-GGA.

abc: 4.779 4.779 6.784
angles: 81.95 81.94 79.42
Positions (direct):
Pr: 0.000 0.000 0.000
Al: 0.456 0.457 0.210
Al: 0.544 0.543 0.790
Os: 0.000 0.000 0.500
O: 0.214 0.772 0.294
O: 0.229 0.787 0.706
O: 0.248 0.250 0.431
O: 0.332 0.333 0.000
O: 0.668 0.667 0.000
O: 0.752 0.750 0.569
O: 0.771 0.213 0.294
O: 0.786 0.228 0.706

Output
- Space group: P-1 (2)
- Raw formation energy: -50.1 kcal/mol of atoms
- Total magnetic moment: 0.97 μB/f.u.

---

# 7
A geometry-optimized LiPaBi structure, computed with PBE-GGA.

abc: 4.538 4.538 4.078
angles: 90.00 90.00 120.00
Positions (direct):
Li: 0.000 0.000 0.000
Pa: 0.667 0.333 0.500
Bi: 0.333 0.667 0.000

Output
- Relative energy among the computed polymorphs: 0.000 eV per atom
- Energy of formation from the pure elements: -0.036 eV/atom
- Space group: P-6m2 (187)
- Total magnetic moment: 1.10 μB/f.u.

---

# 8
A geometry-optimized Li2InPt2 structure, computed with PBE-GGA.

abc: 4.398 4.398 5.414
angles: 114.20 114.20 59.72
Positions (direct):
Li: 0.203 0.203 0.110
Li: 0.797 0.797 0.890
In: 0.000 0.000 0.500
Pt: 0.405 0.405 0.719
Pt: 0.595 0.595 0.281

Output
- Relative energy among the computed polymorphs: 0.000 eV per atom
- Energy of formation from the pure elements: -0.543 eV/atom
- Space group: C2/m (12)
- Total magnetic moment: 0.00 μB/f.u.

---

# 9
A geometry-optimized MgScS2N structure, computed with PBE-GGA.

abc: 4.987 4.987 4.099
angles: 90.00 90.00 90.00
Positions (direct):
Mg: 0.000 0.000 0.000
Sc: 0.500 0.500 0.500
S: 0.000 0.500 0.500
S: 0.500 0.000 0.500
N: 0.500 0.500 0.000

Output
- Relative energy among the computed polymorphs: 0.000 eV per atom
- Space group: P4/mmm (123)
- Raw formation energy: -7.4 kcal/mol of atoms
- Total magnetic moment: 2.00 μB/f.u.

---

# 10
A geometry-optimized HoGaNi2Ge2 structure, computed with PBE-GGA.

abc: 4.363 4.363 5.538
angles: 90.00 90.00 90.00
Positions (direct):
Ho: 0.000 0.000 0.000
Ga: 0.000 0.000 0.500
Ni: 0.000 0.500 0.500
Ni: 0.500 0.000 0.500
Ge: 0.500 0.500 0.236
Ge: 0.500 0.500 0.764

Output
- Energy of formation from the pure elements: -0.175 eV/atom
- Space group: P4/mmm (123)
- Total magnetic moment: 0.00 μB/f.u.

---

# 11
A geometry-optimized Ga2MoWSe structure, computed with PBE-GGA.

abc: 4.909 4.909 4.724
angles: 90.00 90.00 90.00
Positions (direct):
Ga: 0.000 0.500 0.000
Ga: 0.500 0.000 0.000
Mo: 0.000 0.000 0.000
W: 0.000 0.000 0.500
Se: 0.500 0.500 0.500

Output
- Space group: P4/mmm (123)
- Raw formation energy: 25.5 kcal/mol of atoms
- Total magnetic moment: 0.00 μB/f.u.

---

# 12
A geometry-optimized Mg2As structure, computed with PBE-GGA.

abc: 3.497 3.497 6.267
angles: 90.00 90.00 120.00
Positions (direct):
Mg: 0.333 0.667 0.301
Mg: 0.667 0.333 0.699
As: 0.000 0.000 0.000

Output
- Energy of formation from the pure elements: -0.139 eV/atom
- Space group: P-3m1 (164)
- Total magnetic moment: 0.00 μB/f.u.

---

Number 1: ρ 10.03 g cm⁻³. Number 2: ρ 7.66 g cm⁻³. Number 3: ρ 13.77 g cm⁻³. Number 4: ρ 14.07 g cm⁻³. Number 5: ρ 7.49 g cm⁻³. Number 6: ρ 5.69 g cm⁻³. Number 7: ρ 10.21 g cm⁻³. Number 8: ρ 10.81 g cm⁻³. Number 9: ρ 2.40 g cm⁻³. Number 10: ρ 7.83 g cm⁻³. Number 11: ρ 7.27 g cm⁻³. Number 12: ρ 3.09 g cm⁻³.